1.
{
  "formula": "Mg7InAg2",
  "functional": "PBE",
  "state": "relaxed",
  "delta_e_f_ev_per_atom": -0.06,
  "dos_ef_per_ev_fu": 3.72,
  "cell": [[4.7999, 0.0000, 0.0000], [-2.3999, 4.1568, 0.0000], [0.0000, 0.0000, 11.4513]],
  "species": ["Mg", "Mg", "Mg", "Mg", "Mg", "Mg", "Mg", "In", "Ag", "Ag"],
  "fractional_positions": [[0.0000, 0.0000, 0.0000], [0.0000, 0.0000, 0.2567], [0.0000, 0.0000, 0.5326], [0.3333, 0.6667, 0.1338], [0.3333, 0.6667, 0.6977], [0.6667, 0.3333, 0.3607], [0.6667, 0.3333, 0.8512], [0.3333, 0.6667, 0.4275], [0.0000, 0.0000, 0.7664], [0.6667, 0.3333, 0.1080]]
}

***

2.
{
  "formula": "Mg6In5Ag",
  "functional": "PBE",
  "state": "relaxed",
  "delta_e_f_ev_per_atom": -0.10,
  "dos_ef_per_ev_fu": 4.05,
  "cell": [[2.2991, -6.8610, 0.0000], [2.2991, 6.8610, 0.0000], [0.0000, 0.0000, 8.5716]],
  "species": ["Mg", "Mg", "Mg", "Mg", "Mg", "Mg", "In", "In", "In", "In", "In", "Ag"],
  "fractional_positions": [[0.0000, 0.0000, 0.2417], [0.0000, 0.0000, 0.7583], [0.3358, 0.6642, 0.2395], [0.3358, 0.6642, 0.7605], [0.6642, 0.3358, 0.2395], [0.6642, 0.3358, 0.7605], [0.1599, 0.8401, 0.0000], [0.1681, 0.8319, 0.5000], [0.5000, 0.5000, 0.5000], [0.8319, 0.1681, 0.5000], [0.8401, 0.1599, 0.0000], [0.5000, 0.5000, 0.0000]]
}

***

3.
{
  "formula": "MgIn2Ag6",
  "functional": "PBE",
  "state": "relaxed",
  "delta_e_f_ev_per_atom": -0.07,
  "dos_ef_per_ev_fu": 2.92,
  "cell": [[8.9015, 0.0000, 0.0000], [0.0000, 8.9015, 0.0000], [0.0000, 0.0000, 4.3129]],
  "species": ["Mg", "Mg", "In", "In", "In", "In", "Ag", "Ag", "Ag", "Ag", "Ag", "Ag", "Ag", "Ag", "Ag", "Ag", "Ag", "Ag"],
  "fractional_positions": [[0.0000, 0.0000, 0.0000], [0.5000, 0.5000, 0.5000], [0.1795, 0.1795, 0.5000], [0.3205, 0.6795, 0.0000], [0.6795, 0.3205, 0.0000], [0.8205, 0.8205, 0.5000], [0.0070, 0.3336, 0.0000], [0.1555, 0.8445, 0.5000], [0.1664, 0.5070, 0.5000], [0.3336, 0.0070, 0.0000], [0.3445, 0.3445, 0.0000], [0.4930, 0.8336, 0.5000], [0.5070, 0.1664, 0.5000], [0.6555, 0.6555, 0.0000], [0.6664, 0.9930, 0.0000], [0.8336, 0.4930, 0.5000], [0.8445, 0.1555, 0.5000], [0.9930, 0.6664, 0.0000]]
}

***

4.
{
  "formula": "Mg2In2Ag7",
  "functional": "PBE",
  "state": "relaxed",
  "delta_e_f_ev_per_atom": -0.06,
  "dos_ef_per_ev_fu": 2.32,
  "cell": [[-2.3569, 6.0506, 3.7493], [2.3569, -6.0506, 3.7493], [2.3569, 6.0506, -3.7493]],
  "species": ["Mg", "Mg", "In", "In", "Ag", "Ag", "Ag", "Ag", "Ag", "Ag", "Ag"],
  "fractional_positions": [[0.0000, 0.0000, 0.0000], [0.6828, 0.1828, 0.5000], [0.2735, 0.9905, 0.2830], [0.7075, 0.9905, 0.7170], [0.1267, 0.4845, 0.6421], [0.1674, 0.3029, 0.8645], [0.2887, 0.7887, 0.5000], [0.4385, 0.3029, 0.1355], [0.5557, 0.6902, 0.8655], [0.8248, 0.6902, 0.1345], [0.8424, 0.4845, 0.3579]]
}

***

5.
{
  "formula": "MgIn3Ag6",
  "functional": "PBE",
  "state": "relaxed",
  "delta_e_f_ev_per_atom": 0.00,
  "dos_ef_per_ev_fu": 3.06,
  "cell": [[4.8252, -5.1977, 0.0000], [4.8252, 5.1977, 0.0000], [0.0000, 0.0000, 8.3199]],
  "species": ["Mg", "Mg", "In", "In", "In", "In", "In", "In", "Ag", "Ag", "Ag", "Ag", "Ag", "Ag", "Ag", "Ag", "Ag", "Ag", "Ag", "Ag"],
  "fractional_positions": [[0.2376, 0.7624, 0.5000], [0.7624, 0.2376, 0.0000], [0.0196, 0.9804, 0.1862], [0.1940, 0.4565, 0.1579], [0.4565, 0.1940, 0.6579], [0.5435, 0.8060, 0.1579], [0.8060, 0.5435, 0.6579], [0.9804, 0.0196, 0.6862], [0.1066, 0.3765, 0.8295], [0.1252, 0.3536, 0.4924], [0.2250, 0.7750, 0.8424], [0.3536, 0.1252, 0.9924], [0.3765, 0.1066, 0.3295], [0.4983, 0.5017, 0.9003], [0.5017, 0.4983, 0.4003], [0.6235, 0.8934, 0.8295], [0.6464, 0.8748, 0.4924], [0.7750, 0.2250, 0.3424], [0.8748, 0.6464, 0.9924], [0.8934, 0.6235, 0.3295]]
}

***

6.
{
  "formula": "MgIn2Ag6",
  "functional": "PBE",
  "state": "relaxed",
  "delta_e_f_ev_per_atom": -0.05,
  "dos_ef_per_ev_fu": 2.40,
  "cell": [[6.8243, -5.0248, 0.0000], [6.8243, 5.0248, 0.0000], [-0.6666, 0.0000, 5.0425]],
  "species": ["Mg", "Mg", "In", "In", "In", "In", "Ag", "Ag", "Ag", "Ag", "Ag", "Ag", "Ag", "Ag", "Ag", "Ag", "Ag", "Ag"],
  "fractional_positions": [[0.1238, 0.8762, 0.7500], [0.8762, 0.1238, 0.2500], [0.2061, 0.4628, 0.9163], [0.4628, 0.2061, 0.4163], [0.5372, 0.7939, 0.5837], [0.7939, 0.5372, 0.0837], [0.0116, 0.7723, 0.1991], [0.0973, 0.3444, 0.3611], [0.2277, 0.9884, 0.3009], [0.3166, 0.5750, 0.4729], [0.3444, 0.0973, 0.8611], [0.4250, 0.6834, 0.0271], [0.5750, 0.3166, 0.9729], [0.6556, 0.9027, 0.1389], [0.6834, 0.4250, 0.5271], [0.7723, 0.0116, 0.6991], [0.9027, 0.6556, 0.6389], [0.9884, 0.2277, 0.8009]]
}

***

| no. | spin magnetization (μB per atom) |
| --- | --- |
| 1 | 0.00 |
| 2 | 0.00 |
| 3 | 0.00 |
| 4 | 0.00 |
| 5 | 0.00 |
| 6 | 0.00 |